Arrangement i

Below is a relaxed ScTaTc2 crystal, with properties calculated at the PBE level.

## Properties
total moment = 0.0 μB per cell

Lattice parameters (Å, degrees): 5.183 5.183 5.183 143.77 124.63 67.98
Element x y z (fractional)
Sc1 0.750 0.250 0.500
Ta1 0.250 0.750 0.500
Tc1 0.008 0.008 0.000
Tc2 0.492 0.492 0.000

Arrangement ii

Below is a relaxed ScTaTc2 crystal, with properties calculated at the PBE level.

## Properties
total moment = 0.0 μB per cell

Lattice parameters (Å, degrees): 4.531 4.531 4.531 60.00 60.00 60.00
Element x y z (fractional)
Sc1 0.000 0.000 0.000
Tc1 0.250 0.250 0.250
Tc2 0.750 0.750 0.750
Ta1 0.500 0.500 0.500

Arrangement iii

Below is a relaxed ScTaTc2 crystal, with properties calculated at the PBE level.

## Properties
total moment = 0.0 μB per cell

Lattice parameters (Å, degrees): 5.426 5.426 5.426 145.80 131.67 60.54
Element x y z (fractional)
Sc1 0.505 0.505 0.000
Tc1 0.996 0.996 0.000
Tc2 0.762 0.262 0.500
Ta1 0.237 0.737 0.500

Winner for stability: arrangement ii

Arrangement i

Below is a relaxed ScTaTc2 crystal, with properties calculated at the PBE level.

## Properties
total moment = 0.0 μB per cell

Lattice parameters (Å, degrees): 3.125 3.125 6.980 90.00 90.00 90.00
Element x y z (fractional)
Sc1 0.000 0.000 0.489
Ta1 0.500 0.500 0.775
Tc1 0.000 0.000 0.013
Tc2 0.500 0.500 0.223

Arrangement ii

Below is a relaxed ScTaTc2 crystal, with properties calculated at the PBE level.

## Properties
total moment = 0.0 μB per cell

Lattice parameters (Å, degrees): 2.838 2.838 9.000 90.00 90.00 110.29
Element x y z (fractional)
Sc1 0.000 0.000 0.482
Ta1 0.500 0.500 0.773
Tc1 0.000 0.000 0.008
Tc2 0.500 0.500 0.237

Arrangement iii

Below is a relaxed ScTaTc2 crystal, with properties calculated at the PBE level.

## Properties
total moment = 0.0 μB per cell

Lattice parameters (Å, degrees): 9.534 9.534 9.534 17.49 17.49 17.49
Element x y z (fractional)
Sc1 0.496 0.496 0.496
Ta1 0.254 0.254 0.254
Tc1 0.006 0.006 0.006
Tc2 0.745 0.745 0.745

Arrangement iv

Below is a relaxed ScTaTc2 crystal, with properties calculated at the PBE level.

## Properties
total moment = 0.0 μB per cell

Lattice parameters (Å, degrees): 3.207 3.207 6.479 90.00 90.00 90.00
Element x y z (fractional)
Sc1 0.500 0.500 0.250
Tc1 0.000 0.000 0.986
Tc2 0.000 0.000 0.514
Ta1 0.500 0.500 0.750

Winner for stability: arrangement iv

Arrangement i

Below is a relaxed ScTaTc2 crystal, with properties calculated at the PBE level.

## Properties
total moment = 0.0 μB per cell

Lattice parameters (Å, degrees): 2.889 4.457 5.254 90.00 90.00 90.00
Element x y z (fractional)
Sc1 0.000 0.000 0.483
Ta1 0.500 0.500 0.768
Tc1 0.000 0.000 0.990
Tc2 0.500 0.500 0.259

Arrangement ii

Below is a relaxed ScTaTc2 crystal, with properties calculated at the PBE level.

## Properties
total moment = 0.0 μB per cell

Lattice parameters (Å, degrees): 4.290 2.868 5.451 83.01 90.00 90.00
Element x y z (fractional)
Sc1 0.500 0.250 0.250
Ta1 0.500 0.750 0.750
Tc1 0.000 0.984 0.997
Tc2 0.000 0.516 0.503

Arrangement iii

Below is a relaxed ScTaTc2 crystal, with properties calculated at the PBE level.

## Properties
total moment = 0.0 μB per cell

Lattice parameters (Å, degrees): 5.429 5.210 2.845 77.91 83.00 119.20
Element x y z (fractional)
Sc1 0.000 0.500 0.500
Ta1 0.500 0.500 0.000
Tc1 0.000 0.000 0.000
Tc2 0.500 0.000 0.500

Arrangement iv

Below is a relaxed ScTaTc2 crystal, with properties calculated at the PBE level.

## Properties
total moment = 0.0 μB per cell

Lattice parameters (Å, degrees): 2.877 2.877 8.683 90.00 90.00 111.55
Element x y z (fractional)
Sc1 0.500 0.500 0.250
Ta1 0.500 0.500 0.750
Tc1 0.000 0.000 0.993
Tc2 0.000 0.000 0.507

Winner for stability: arrangement iv

Arrangement i

Below is a relaxed ScTaTc2 crystal, with properties calculated at the PBE level.

## Properties
total moment = 0.0 μB per cell

Lattice parameters (Å, degrees): 7.133 7.133 5.776 51.87 51.87 90.00
Element x y z (fractional)
Sc1 0.500 0.500 0.000
Sc2 0.250 0.750 0.500
Tc1 0.641 0.125 0.250
Tc2 0.109 0.625 0.250
Tc3 0.375 0.359 0.750
Tc4 0.875 0.891 0.750
Ta1 0.000 0.000 0.000
Ta2 0.750 0.250 0.500

Arrangement ii

Below is a relaxed ScTaTc2 crystal, with properties calculated at the PBE level.

## Properties
total moment = 0.0 μB per cell

Lattice parameters (Å, degrees): 8.513 8.513 8.513 20.87 20.87 20.87
Element x y z (fractional)
Sc1 0.750 0.750 0.750
Ta1 0.250 0.250 0.250
Tc1 0.996 0.996 0.996
Tc2 0.504 0.504 0.504

Winner for stability: arrangement ii

Arrangement i

Below is a relaxed ScTaTc2 crystal, with properties calculated at the PBE level.

## Properties
total moment = 0.0 μB per cell

Lattice parameters (Å, degrees): 3.205 4.824 4.293 90.00 90.00 90.00
Element x y z (fractional)
Sc1 0.500 0.000 0.500
Ta1 0.000 0.500 0.500
Tc1 0.000 0.000 0.000
Tc2 0.500 0.500 0.000

Arrangement ii

Below is a relaxed ScTaTc2 crystal, with properties calculated at the PBE level.

## Properties
total moment = 0.0 μB per cell

Lattice parameters (Å, degrees): 4.525 2.881 5.217 77.61 90.00 90.00
Element x y z (fractional)
Sc1 0.000 0.486 0.491
Ta1 0.500 0.776 0.758
Tc1 0.000 0.999 0.999
Tc2 0.500 0.239 0.252

Winner for stability: arrangement ii

Arrangement i

Below is a relaxed ScTa3Tc crystal, with properties calculated at the PBE level.

## Properties
total moment = 0.0 μB per cell

Lattice parameters (Å, degrees): 4.831 4.831 4.831 90.00 90.00 90.00
Element x y z (fractional)
Sc1 0.500 0.500 0.500
Tc1 0.000 0.000 0.000
Ta1 0.000 0.500 0.000
Ta2 0.000 0.000 0.500
Ta3 0.500 0.000 0.000

Arrangement ii

Below is a relaxed ScTa3Tc crystal, with properties calculated at the PBE level.

## Properties
total moment = 0.0 μB per cell

Lattice parameters (Å, degrees): 4.644 4.644 4.644 90.00 90.00 90.00
Element x y z (fractional)
Sc1 0.000 0.000 0.000
Tc1 0.500 0.500 0.500
Ta1 0.000 0.500 0.000
Ta2 0.000 0.000 0.500
Ta3 0.500 0.000 0.000

Winner for stability: arrangement i

Arrangement i

Below is a relaxed Sc3TaTc crystal, with properties calculated at the PBE level.

## Properties
total moment = 0.0 μB per cell

Lattice parameters (Å, degrees): 4.866 4.866 4.866 90.00 90.00 90.00
Element x y z (fractional)
Sc1 0.000 0.500 0.000
Sc2 0.000 0.000 0.500
Sc3 0.500 0.000 0.000
Tc1 0.000 0.000 0.000
Ta1 0.500 0.500 0.500

Arrangement ii

Below is a relaxed Sc3TaTc crystal, with properties calculated at the PBE level.

## Properties
total moment = 2.7 μB per cell

Lattice parameters (Å, degrees): 5.011 5.011 5.011 90.00 90.00 90.00
Element x y z (fractional)
Sc1 0.000 0.500 0.000
Sc2 0.000 0.000 0.500
Sc3 0.500 0.000 0.000
Tc1 0.500 0.500 0.500
Ta1 0.000 0.000 0.000

Winner for stability: arrangement i

Arrangement i

Below is a relaxed ScTa3Te crystal, with properties calculated at the PBE level.

## Properties
total moment = 0.0 μB per cell

Lattice parameters (Å, degrees): 5.007 5.007 5.007 90.00 90.00 90.00
Element x y z (fractional)
Sc1 0.500 0.500 0.500
Te1 0.000 0.000 0.000
Ta1 0.000 0.500 0.000
Ta2 0.000 0.000 0.500
Ta3 0.500 0.000 0.000

Arrangement ii

Below is a relaxed ScTa3Te crystal, with properties calculated at the PBE level.

## Properties
total moment = 0.0 μB per cell

Lattice parameters (Å, degrees): 4.841 4.841 4.841 90.00 90.00 90.00
Element x y z (fractional)
Sc1 0.000 0.000 0.000
Te1 0.500 0.500 0.500
Ta1 0.000 0.500 0.000
Ta2 0.000 0.000 0.500
Ta3 0.500 0.000 0.000

Winner for stability: arrangement i

Arrangement i

Below is a relaxed Sc3TaTe crystal, with properties calculated at the PBE level.

## Properties
total moment = 1.3 μB per cell

Lattice parameters (Å, degrees): 5.192 5.192 5.192 90.00 90.00 90.00
Element x y z (fractional)
Sc1 0.000 0.500 0.000
Sc2 0.000 0.000 0.500
Sc3 0.500 0.000 0.000
Te1 0.000 0.000 0.000
Ta1 0.500 0.500 0.500

Arrangement ii

Below is a relaxed Sc3TaTe crystal, with properties calculated at the PBE level.

## Properties
total moment = 0.0 μB per cell

Lattice parameters (Å, degrees): 5.154 5.154 5.154 90.00 90.00 90.00
Element x y z (fractional)
Sc1 0.000 0.500 0.000
Sc2 0.000 0.000 0.500
Sc3 0.500 0.000 0.000
Te1 0.500 0.500 0.500
Ta1 0.000 0.000 0.000

Winner for stability: arrangement ii

Arrangement i

Below is a relaxed ScTa2Ti2 crystal, with properties calculated at the PBE level.

## Properties
total moment = 0.0 μB per cell

Lattice parameters (Å, degrees): 7.461 7.461 3.422 90.00 90.00 90.00
Element x y z (fractional)
Sc1 0.000 0.000 0.000
Sc2 0.500 0.500 0.000
Ti1 0.370 0.870 0.000
Ti2 0.870 0.630 0.000
Ti3 0.630 0.130 0.000
Ti4 0.130 0.370 0.000
Ta1 0.163 0.663 0.500
Ta2 0.663 0.837 0.500
Ta3 0.837 0.337 0.500
Ta4 0.337 0.163 0.500

Arrangement ii

Below is a relaxed ScTa2Ti2 crystal, with properties calculated at the PBE level.

## Properties
total moment = 0.0 μB per cell

Lattice parameters (Å, degrees): 7.718 7.718 3.238 90.00 90.00 90.00
Element x y z (fractional)
Sc1 0.000 0.000 0.000
Sc2 0.500 0.500 0.000
Ti1 0.146 0.646 0.500
Ti2 0.646 0.854 0.500
Ti3 0.854 0.354 0.500
Ti4 0.354 0.146 0.500
Ta1 0.358 0.858 0.000
Ta2 0.858 0.642 0.000
Ta3 0.642 0.142 0.000
Ta4 0.142 0.358 0.000

Winner for stability: arrangement i

Arrangement i

Below is a relaxed Sc2TaTi crystal, with properties calculated at the PBE level.

## Properties
total moment = 0.0 μB per cell

Lattice parameters (Å, degrees): 3.041 3.041 10.286 81.50 81.50 60.00
Element x y z (fractional)
Sc1 0.750 0.750 0.750
Sc2 0.250 0.250 0.250
Ti1 0.000 0.000 0.000
Ta1 0.500 0.500 0.500

Arrangement ii

Below is a relaxed Sc2TaTi crystal, with properties calculated at the PBE level.

## Properties
total moment = 0.0 μB per cell

Lattice parameters (Å, degrees): 4.855 4.855 4.855 60.00 60.00 60.00
Element x y z (fractional)
Sc1 0.250 0.250 0.250
Sc2 0.750 0.750 0.750
Ti1 0.000 0.000 0.000
Ta1 0.500 0.500 0.500

Arrangement iii

Below is a relaxed Sc2TaTi crystal, with properties calculated at the PBE level.

## Properties
total moment = 0.0 μB per cell

Lattice parameters (Å, degrees): 7.578 7.578 6.083 51.47 51.47 90.00
Element x y z (fractional)
Sc1 0.615 0.125 0.250
Sc2 0.135 0.625 0.250
Sc3 0.375 0.385 0.750
Sc4 0.875 0.865 0.750
Ti1 0.500 0.500 0.000
Ti2 0.250 0.750 0.500
Ta1 0.000 0.000 0.000
Ta2 0.750 0.250 0.500

Winner for stability: arrangement i